# 1
The following is a DFT calculation (PBE-GGA) of an optimized crystal structure of AcLa4Tc.

Computed properties:
distance to the lowest polymorph of the same formula	0	meV per atom
space group	No. 15
total energy	-5.6793	eV per atom
crystal system	monoclinic
volume	208.5	Å³/f.u.
size of the total moment	0.000	μB/atom
energy of formation from the pure elements	0.0181	eV per atom

Lattice parameters (Å, degrees): 8.3889 8.3889 6.3206 99.72 99.72 103.09
Closest atoms and distances in Å follow each position.
Fractional positions:
1 Ac 0.1022 0.8978 0.7500  6 La 3.59-3.90
2 Ac 0.8978 0.1022 0.2500  6 La 3.59-3.90
3 La 0.1472 0.3408 0.8793  2 Tc 3.27-3.28, 1 Ac 3.59, 2 La 3.60-3.62
4 La 0.2389 0.5566 0.4497  2 Tc 2.76-2.86
5 La 0.3408 0.1472 0.3793  2 Tc 3.27-3.28, 1 Ac 3.59, 2 La 3.60-3.62
6 La 0.4434 0.7611 0.0503  2 Tc 2.76-2.86
7 La 0.5566 0.2389 0.9497  2 Tc 2.76-2.86
8 La 0.6592 0.8528 0.6207  2 Tc 3.27-3.28, 1 Ac 3.59, 2 La 3.60-3.62
9 La 0.7611 0.4434 0.5503  2 Tc 2.76-2.86
10 La 0.8528 0.6592 0.1207  2 Tc 3.27-3.28, 1 Ac 3.59, 2 La 3.60-3.62
11 Tc 0.4963 0.5037 0.2500  4 La 2.76-2.86
12 Tc 0.5037 0.4963 0.7500  4 La 2.76-2.86

---

# 2
The following is a DFT calculation (PBE-GGA) of an optimized crystal structure of Ac2La8Tc.

Computed properties:
space group	No. 12
total energy	-5.2310	eV per atom
crystal system	monoclinic
volume	400.9	Å³/f.u.
size of the total moment	0.000	μB/atom
energy of formation from the pure elements	0.0419	eV per atom

Lattice parameters (Å, degrees): 9.8879 9.8879 7.5092 111.97 111.97 36.45
Closest atoms and distances in Å follow each position.
Fractional positions:
1 Ac 0.1939 0.1939 0.1915  12 La 3.76-3.89
2 Ac 0.8061 0.8061 0.8085  12 La 3.76-3.89
3 La 0.0003 0.0003 0.2631  7 La 3.48-3.68, 2 Tc 3.57, 2 Ac 3.88-3.89
4 La 0.9997 0.9997 0.7369  7 La 3.48-3.68, 2 Tc 3.57, 2 Ac 3.88-3.89
5 La 0.1733 0.1733 0.6724  6 La 3.48-3.78, 4 Ac 3.76-3.85
6 La 0.3847 0.3847 0.6379  1 Tc 2.74
7 La 0.3869 0.3869 0.1320  1 Tc 2.74
8 La 0.6131 0.6131 0.8680  1 Tc 2.74
9 La 0.6153 0.6153 0.3621  1 Tc 2.74
10 La 0.8267 0.8267 0.3276  6 La 3.48-3.78, 4 Ac 3.76-3.85
11 Tc 0.5000 0.5000 0.5000  4 La 2.74

---

# 3
The following is a DFT calculation (PBE-GGA) of an optimized crystal structure of Ac3LaTe6.

Computed properties:
distance to the lowest polymorph of the same formula	21	meV per atom
space group	No. 14
total energy	-5.1389	eV per atom
crystal system	monoclinic
volume	407.3	Å³/f.u.
size of the total moment	0.000	μB/atom
formation energy (no corrections)	-1.5287	eV per atom

Lattice parameters (Å, degrees): 7.8269 8.7565 14.0753 90.00 122.39 90.00
Closest atoms and distances in Å follow each position.
Fractional positions:
1 Ac 0.0000 0.0000 0.0000  6 Te 3.25-3.31
2 Ac 0.0000 0.5000 0.5000  6 Te 3.25-3.31
3 Ac 0.3011 0.1087 0.7540  6 Te 3.33-3.56
4 Ac 0.3011 0.3913 0.2540  6 Te 3.33-3.56
5 Ac 0.6989 0.6087 0.7460  6 Te 3.33-3.56
6 Ac 0.6989 0.8913 0.2460  6 Te 3.33-3.56
7 La 0.5000 0.0000 0.5000  6 Te 3.15-3.24
8 La 0.5000 0.5000 0.0000  6 Te 3.15-3.24
9 Te 0.0944 0.0596 0.2559  1 La 3.24, 3 Ac 3.31-3.36
10 Te 0.0944 0.4404 0.7559  1 La 3.24, 3 Ac 3.31-3.36
11 Te 0.2540 0.6789 0.0831  1 La 3.15, 3 Ac 3.28-3.51
12 Te 0.2540 0.8211 0.5831  1 La 3.15, 3 Ac 3.28-3.51
13 Te 0.4169 0.1825 0.0784  1 La 3.18, 3 Ac 3.25-3.56
14 Te 0.4169 0.3175 0.5784  1 La 3.18, 3 Ac 3.25-3.56
15 Te 0.5831 0.6825 0.4216  1 La 3.18, 3 Ac 3.25-3.56
16 Te 0.5831 0.8175 0.9216  1 La 3.18, 3 Ac 3.25-3.56
17 Te 0.7460 0.1789 0.4169  1 La 3.15, 3 Ac 3.28-3.51
18 Te 0.7460 0.3211 0.9169  1 La 3.15, 3 Ac 3.28-3.51
19 Te 0.9056 0.5596 0.2441  1 La 3.24, 3 Ac 3.31-3.36
20 Te 0.9056 0.9404 0.7441  1 La 3.24, 3 Ac 3.31-3.36

---

# 4
The following is a DFT calculation (PBE-GGA) of an optimized crystal structure of AcLa2Te.

Computed properties:
distance to the lowest polymorph of the same formula	18	meV per atom
space group	No. 166
total energy	-4.9409	eV per atom
crystal system	trigonal
volume	154.7	Å³/f.u.
size of the total moment	0.000	μB/atom
formation energy (no corrections)	-0.6646	eV per atom

Lattice parameters (Å, degrees): 10.7578 10.7578 10.7578 22.11 22.11 22.11
Closest atoms and distances in Å follow each position.
Fractional positions:
1 Ac 0.0000 0.0000 0.0000  6 La 3.90, 6 Ac 4.13
2 La 0.2353 0.2353 0.2353  3 Te 3.22
3 La 0.7647 0.7647 0.7647  3 Te 3.22
4 Te 0.5000 0.5000 0.5000  6 La 3.22

---

Number 1: D(E_F) 1.48 states/eV per atom. Number 2: D(E_F) 1.51 states/eV per atom. Number 3: D(E_F) 0.00 states/eV per atom. Number 4: D(E_F) 1.52 states/eV per atom.